1.
# CaTbI5 (PBE, relaxed)
# Total moment ... 0.0 μB per cell
# E_form (uncorrected) ... -1.402 eV per atom
# D(E_F) ... 0.0 states/eV/cell
# Total DFT energy (no corrections) ... -3.46 eV per atom
data_CaTbI5
_space_group_name_H-M_alt 'C 1 2/c 1'
_space_group_IT_number 15
_cell_length_a 12.067
_cell_length_b 10.783
_cell_length_c 12.090
_cell_angle_alpha 90.00
_cell_angle_beta 117.31
_cell_angle_gamma 90.00
loop_
_space_group_symop_operation_xyz
'x,y,z'
'-x,-y,-z'
'-x,y,-z+1/2'
'x,-y,z+1/2'
'x+1/2,y+1/2,z'
'-x+1/2,-y+1/2,-z'
'-x+1/2,y+1/2,-z+1/2'
'x+1/2,-y+1/2,z+1/2'
loop_
_atom_site_label
_atom_site_fract_x
_atom_site_fract_y
_atom_site_fract_z
Ca1 0.000 0.062 0.250
Tb1 0.250 0.250 0.000
I1 0.000 0.238 0.750
I2 0.104 0.267 0.146
I3 0.238 0.029 0.500

---

2.
# YCuOs (PBE, relaxed)
# Total moment ... 0.0 μB per cell
# D(E_F) ... 5.1 states/eV/cell
# Energy of formation ... -0.01 eV per atom
# ΔE to the lowest computed polymorph ... 241.6 meV/atom
# Total DFT energy (no corrections) ... -7.27 eV per atom
data_YCuOs
_space_group_name_H-M_alt 'C m c m'
_space_group_IT_number 63
_space_group_name_Hall '-C 2c 2'
_cell_length_a 4.832
_cell_length_b 8.048
_cell_length_c 5.411
_cell_angle_alpha 90.00
_cell_angle_beta 90.00
_cell_angle_gamma 90.00
loop_
_atom_site_label
_atom_site_fract_x
_atom_site_fract_y
_atom_site_fract_z
Y1 0.000 0.159 0.250
Cu1 0.000 0.187 0.750
Os1 0.000 0.500 0.000

---

3.
# La3Pm8Tm4 (PBE, relaxed)
# Total moment ... 0.0 μB per cell
# D(E_F) ... 49.1 states/eV/cell
# Energy of formation ... 0.34 eV per atom
# Total DFT energy (no corrections) ... -4.38 eV per atom
data_La3Pm8Tm4
_space_group_name_H-M_alt 'C 1 2/m 1'
_space_group_IT_number 12
_cell_length_a 13.865
_cell_length_b 12.291
_cell_length_c 6.907
_cell_angle_alpha 90.00
_cell_angle_beta 118.63
_cell_angle_gamma 90.00
loop_
_space_group_symop_operation_xyz
'x,y,z'
'-x,-y,-z'
'-x,y,-z'
'x,-y,z'
'x+1/2,y+1/2,z'
'-x+1/2,-y+1/2,-z'
'-x+1/2,y+1/2,-z'
'x+1/2,-y+1/2,z'
loop_
_atom_site_label
_atom_site_fract_x
_atom_site_fract_y
_atom_site_fract_z
La1 0.000 0.000 0.000
La2 0.250 0.250 0.500
Pm1 0.000 0.206 0.500
Pm2 0.000 0.253 0.000
Pm3 0.203 0.000 0.668
Pm4 0.245 0.500 0.812
Tm1 0.000 0.500 0.000
Tm2 0.000 0.500 0.500
Tm3 0.250 0.250 0.000

---

4.
# Tl2Bi3Pb (PBE, relaxed)
# Total moment ... 0.0 μB per cell
# D(E_F) ... 11.1 states/eV/cell
# Energy of formation ... 0.03 eV per atom
# ΔE to the lowest computed polymorph ... 46.9 meV/atom
# Total DFT energy (no corrections) ... -3.32 eV per atom
data_Tl2Bi3Pb
_space_group_name_H-M_alt 'C 1 2/c 1'
_space_group_IT_number 15
_cell_length_a 9.960
_cell_length_b 7.142
_cell_length_c 11.847
_cell_angle_alpha 90.00
_cell_angle_beta 114.76
_cell_angle_gamma 90.00
loop_
_space_group_symop_operation_xyz
'x,y,z'
'-x,-y,-z'
'-x,y,-z+1/2'
'x,-y,z+1/2'
'x+1/2,y+1/2,z'
'-x+1/2,-y+1/2,-z'
'-x+1/2,y+1/2,-z+1/2'
'x+1/2,-y+1/2,z+1/2'
loop_
_atom_site_label
_atom_site_fract_x
_atom_site_fract_y
_atom_site_fract_z
Tl1 0.166 0.125 0.081
Bi1 0.000 0.130 0.750
Bi2 0.169 0.372 0.587
Pb1 0.000 0.373 0.250

---

5.
# NpSnRh4 (PBE, relaxed)
# Total moment ... 2.9 μB per cell
# D(E_F) ... 9.7 states/eV/cell
# Energy of formation ... -0.27 eV per atom
# ΔE to the lowest computed polymorph ... 49.6 meV/atom
# Total DFT energy (no corrections) ... -7.99 eV per atom
data_NpSnRh4
_space_group_name_H-M_alt 'C 1 2/m 1'
_space_group_IT_number 12
_cell_length_a 7.961
_cell_length_b 4.202
_cell_length_c 6.885
_cell_angle_alpha 90.00
_cell_angle_beta 108.72
_cell_angle_gamma 90.00
loop_
_space_group_symop_operation_xyz
'x,y,z'
'-x,-y,-z'
'-x,y,-z'
'x,-y,z'
'x+1/2,y+1/2,z'
'-x+1/2,-y+1/2,-z'
'-x+1/2,y+1/2,-z'
'x+1/2,-y+1/2,z'
loop_
_atom_site_label
_atom_site_fract_x
_atom_site_fract_y
_atom_site_fract_z
Np1 0.000 0.000 0.000
Sn1 0.000 0.500 0.500
Rh1 0.143 0.000 0.376
Rh2 0.245 0.000 0.844

---

6.
# CaNd2Th (PBE, relaxed)
# Total moment ... 0.0 μB per cell
# D(E_F) ... 15.1 states/eV/cell
# Energy of formation ... 0.04 eV per atom
# ΔE to the lowest computed polymorph ... 1.4 meV/atom
# Total DFT energy (no corrections) ... -4.70 eV per atom
data_CaNd2Th
_space_group_name_H-M_alt 'R 3 m'
_space_group_IT_number 160
_space_group_name_Hall 'R 3 -2"'
_cell_length_a 3.6746
_cell_length_b 3.6746
_cell_length_c 36.6335
_cell_angle_alpha 90.00
_cell_angle_beta 90.00
_cell_angle_gamma 120.00
loop_
_atom_site_label
_atom_site_fract_x
_atom_site_fract_y
_atom_site_fract_z
Ca1 0.0000 0.0000 0.0000
Nd1 0.0000 0.0000 0.2450
Nd2 0.0000 0.0000 0.4231
Th1 0.0000 0.0000 0.8342

---

7.
# Mg3Si4 (PBE, relaxed)
# Total moment ... 0.0 μB per cell
# E_form (uncorrected) ... 0.149 eV per atom
# D(E_F) ... 4.4 states/eV/cell
# ΔE to the lowest computed polymorph ... 97.1 meV/atom
# Total DFT energy (no corrections) ... -3.63 eV per atom
data_Mg3Si4
_space_group_name_H-M_alt 'P 1'
_space_group_IT_number 1
_cell_length_a 6.039
_cell_length_b 6.962
_cell_length_c 7.135
_cell_angle_alpha 68.68
_cell_angle_beta 71.48
_cell_angle_gamma 87.62
loop_
_space_group_symop_operation_xyz
'x,y,z'
loop_
_atom_site_label
_atom_site_fract_x
_atom_site_fract_y
_atom_site_fract_z
Mg1 0.000 0.000 0.000
Mg2 0.001 0.525 0.263
Mg3 0.160 0.472 0.630
Mg4 0.319 0.197 0.185
Mg5 0.480 0.811 0.085
Mg6 0.629 0.349 0.722
Si1 0.311 0.652 0.848
Si2 0.373 0.081 0.623
Si3 0.536 0.833 0.462
Si4 0.550 0.421 0.341
Si5 0.793 0.335 0.049
Si6 0.902 0.705 0.848
Si7 0.937 0.828 0.461
Si8 0.988 0.122 0.566

---

8.
# Er4NiHg (PBE, relaxed)
# Total moment ... 0.0 μB per cell
# D(E_F) ... 100.2 states/eV/cell
# Energy of formation ... -0.36 eV per atom
# ΔE to the lowest computed polymorph ... 0.0 meV/atom
# Total DFT energy (no corrections) ... -4.42 eV per atom
data_Er4NiHg
_space_group_name_H-M_alt 'F -4 3 m'
_space_group_IT_number 216
_space_group_name_Hall 'F -4 2 3'
_cell_length_a 13.334
_cell_length_b 13.334
_cell_length_c 13.334
_cell_angle_alpha 90.00
_cell_angle_beta 90.00
_cell_angle_gamma 90.00
loop_
_atom_site_label
_atom_site_fract_x
_atom_site_fract_y
_atom_site_fract_z
Er1 0.000 0.000 0.187
Er2 0.061 0.250 0.250
Er3 0.100 0.100 0.600
Ni1 0.107 0.107 0.393
Hg1 0.165 0.165 0.835

---

9.
# Ho3CdHg2 (PBE, relaxed)
# Total moment ... 0.0 μB per cell
# D(E_F) ... 11.1 states/eV/cell
# Energy of formation ... -0.42 eV per atom
# ΔE to the lowest computed polymorph ... 3.6 meV/atom
# Total DFT energy (no corrections) ... -2.97 eV per atom
data_Ho3CdHg2
_space_group_name_H-M_alt 'P -3 m 1'
_space_group_IT_number 164
_space_group_name_Hall '-P 3 2"'
_cell_length_a 5.2384
_cell_length_b 5.2384
_cell_length_c 12.8994
_cell_angle_alpha 90.00
_cell_angle_beta 90.00
_cell_angle_gamma 120.00
loop_
_atom_site_label
_atom_site_fract_x
_atom_site_fract_y
_atom_site_fract_z
Ho1 0.0000 0.0000 0.2482
Ho2 0.3333 0.6667 0.4181
Ho3 0.3333 0.6667 0.9191
Cd1 0.3333 0.6667 0.6684
Hg1 0.0000 0.0000 0.0000
Hg2 0.0000 0.0000 0.5000
Hg3 0.3333 0.6667 0.1732

---

10.
# HoZn11Au (PBE, relaxed)
# Total moment ... 0.0 μB per cell
# D(E_F) ... 9.6 states/eV/cell
# Energy of formation ... -0.20 eV per atom
# Total DFT energy (no corrections) ... -1.88 eV per atom
data_HoZn11Au
_space_group_name_H-M_alt 'C 1 2/m 1'
_space_group_IT_number 12
_cell_length_a 5.310
_cell_length_b 12.596
_cell_length_c 6.795
_cell_angle_alpha 90.00
_cell_angle_beta 112.45
_cell_angle_gamma 90.00
loop_
_space_group_symop_operation_xyz
'x,y,z'
'-x,-y,-z'
'-x,y,-z'
'x,-y,z'
'x+1/2,y+1/2,z'
'-x+1/2,-y+1/2,-z'
'-x+1/2,y+1/2,-z'
'x+1/2,-y+1/2,z'
loop_
_atom_site_label
_atom_site_fract_x
_atom_site_fract_y
_atom_site_fract_z
Ho1 0.000 0.000 0.000
Zn1 0.000 0.500 0.500
Zn2 0.099 0.391 0.213
Zn3 0.179 0.179 0.351
Zn4 0.250 0.250 0.000
Au1 0.000 0.000 0.500

---

11.
# LiTb2HoTe4 (PBE, relaxed)
# Total moment ... 0.0 μB per cell
# E_form (uncorrected) ... -1.312 eV per atom
# D(E_F) ... 3.2 states/eV/cell
# Total DFT energy (no corrections) ... -4.85 eV per atom
data_LiTb2HoTe4
_space_group_name_H-M_alt 'P 1 2/m 1'
_space_group_IT_number 10
_cell_length_a 7.514
_cell_length_b 4.317
_cell_length_c 7.529
_cell_angle_alpha 90.00
_cell_angle_beta 109.15
_cell_angle_gamma 90.00
loop_
_space_group_symop_operation_xyz
'x,y,z'
'-x,-y,-z'
'-x,y,-z'
'x,-y,z'
loop_
_atom_site_label
_atom_site_fract_x
_atom_site_fract_y
_atom_site_fract_z
Li1 0.000 0.000 0.000
Tb1 0.000 0.500 0.500
Tb2 0.500 0.000 0.500
Ho1 0.500 0.500 0.000
Te1 0.242 0.500 0.240
Te2 0.246 0.000 0.758

---

12.
# MnZnSeN2 (PBE, relaxed)
# Total moment ... 0.0 μB per cell
# E_form (uncorrected) ... 0.437 eV per atom
# D(E_F) ... 3.6 states/eV/cell
# ΔE to the lowest computed polymorph ... 0.0 meV/atom
# Total DFT energy (no corrections) ... -5.68 eV per atom
data_MnZnSeN2
_space_group_name_H-M_alt 'P 4/m m m'
_space_group_IT_number 123
_space_group_name_Hall '-P 4 2'
_cell_length_a 3.602
_cell_length_b 3.602
_cell_length_c 5.412
_cell_angle_alpha 90.00
_cell_angle_beta 90.00
_cell_angle_gamma 90.00
loop_
_atom_site_label
_atom_site_fract_x
_atom_site_fract_y
_atom_site_fract_z
Mn1 0.000 0.000 0.000
Zn1 0.500 0.500 0.500
Se1 0.000 0.000 0.500
N1 0.000 0.500 0.000

---

13.
# SiTeAu2 (PBE, relaxed)
# Total moment ... 0.0 μB per cell
# E_form (uncorrected) ... 0.174 eV per atom
# D(E_F) ... 3.0 states/eV/cell
# ΔE to the lowest computed polymorph ... 117.3 meV/atom
# Total DFT energy (no corrections) ... -3.61 eV per atom
data_SiTeAu2
_space_group_name_H-M_alt 'I m m 2'
_space_group_IT_number 44
_cell_length_a 3.421
_cell_length_b 4.051
_cell_length_c 12.196
_cell_angle_alpha 90.00
_cell_angle_beta 90.00
_cell_angle_gamma 90.00
loop_
_space_group_symop_operation_xyz
'x,y,z'
'-x,-y,z'
'-x,y,z'
'x,-y,z'
'x+1/2,y+1/2,z+1/2'
'-x+1/2,-y+1/2,z+1/2'
'-x+1/2,y+1/2,z+1/2'
'x+1/2,-y+1/2,z+1/2'
loop_
_atom_site_label
_atom_site_fract_x
_atom_site_fract_y
_atom_site_fract_z
Si1 0.000 0.000 0.000
Te1 0.000 0.500 0.704
Au1 0.000 0.000 0.513
Au2 0.000 0.500 0.337

---

14.
# YBeIn (PBE, relaxed)
# Total moment ... 0.0 μB per cell
# D(E_F) ... 1.8 states/eV/cell
# Energy of formation ... 0.16 eV per atom
# ΔE to the lowest computed polymorph ... 423.1 meV/atom
# Total DFT energy (no corrections) ... -4.15 eV per atom
data_YBeIn
_space_group_name_H-M_alt 'P 63/m m c'
_space_group_IT_number 194
_space_group_name_Hall '-P 6c 2c'
_cell_length_a 4.9871
_cell_length_b 4.9871
_cell_length_c 6.0823
_cell_angle_alpha 90.00
_cell_angle_beta 90.00
_cell_angle_gamma 120.00
loop_
_atom_site_label
_atom_site_fract_x
_atom_site_fract_y
_atom_site_fract_z
Y1 0.3333 0.6667 0.2500
Be1 0.0000 0.0000 0.0000
In1 0.3333 0.6667 0.7500

---

15.
# TaSb3Os (PBE, relaxed)
# Total moment ... 2.5 μB per cell
# E_form (uncorrected) ... 1.513 eV per atom
# D(E_F) ... 2.5 states/eV/cell
# ΔE to the lowest computed polymorph ... 188.2 meV/atom
# Total DFT energy (no corrections) ... -5.58 eV per atom
data_TaSb3Os
_space_group_name_H-M_alt 'P m -3 m'
_space_group_IT_number 221
_space_group_name_Hall '-P 4 2 3'
_cell_length_a 5.272
_cell_length_b 5.272
_cell_length_c 5.272
_cell_angle_alpha 90.00
_cell_angle_beta 90.00
_cell_angle_gamma 90.00
loop_
_atom_site_label
_atom_site_fract_x
_atom_site_fract_y
_atom_site_fract_z
Ta1 0.000 0.000 0.000
Sb1 0.000 0.000 0.500
Os1 0.500 0.500 0.500

---

16.
# Al2TcCl (PBE, relaxed)
# Total moment ... 6.6 μB per cell
# E_form (uncorrected) ... 0.554 eV per atom
# D(E_F) ... 4.8 states/eV/cell
# ΔE to the lowest computed polymorph ... 976.1 meV/atom
# Total DFT energy (no corrections) ... -4.37 eV per atom
data_Al2TcCl
_space_group_name_H-M_alt 'F m -3 m'
_space_group_IT_number 225
_space_group_name_Hall '-F 4 2 3'
_cell_length_a 6.478
_cell_length_b 6.478
_cell_length_c 6.478
_cell_angle_alpha 90.00
_cell_angle_beta 90.00
_cell_angle_gamma 90.00
loop_
_atom_site_label
_atom_site_fract_x
_atom_site_fract_y
_atom_site_fract_z
Al1 0.250 0.250 0.250
Tc1 0.000 0.000 0.000
Cl1 0.000 0.000 0.500

---

17.
# Ca5As2SO (PBE, relaxed)
# Total moment ... 0.0 μB per cell
# E_form (uncorrected) ... -1.741 eV per atom
# Total DFT energy (no corrections) ... -4.90 eV per atom
data_Ca5As2SO
_space_group_name_H-M_alt 'C m c 21'
_space_group_IT_number 36
_cell_length_a 4.199
_cell_length_b 16.960
_cell_length_c 11.945
_cell_angle_alpha 90.00
_cell_angle_beta 90.00
_cell_angle_gamma 90.00
loop_
_space_group_symop_operation_xyz
'x,y,z'
'-x,-y,z+1/2'
'-x,y,z'
'x,-y,z+1/2'
'x+1/2,y+1/2,z'
'-x+1/2,-y+1/2,z+1/2'
'-x+1/2,y+1/2,z'
'x+1/2,-y+1/2,z+1/2'
loop_
_atom_site_label
_atom_site_fract_x
_atom_site_fract_y
_atom_site_fract_z
Ca1 0.000 0.008 0.000
Ca2 0.000 0.135 0.224
Ca3 0.000 0.171 0.587
Ca4 0.000 0.212 0.895
Ca5 0.000 0.462 0.243
As1 0.000 0.367 0.534
As2 0.000 0.391 0.909
S1 0.000 0.296 0.233
O1 0.000 0.039 0.673

---

18.
# Sm2Cu3Rh (PBE, relaxed)
# Total moment ... 0.0 μB per cell
# D(E_F) ... 4.5 states/eV/cell
# Energy of formation ... -0.34 eV per atom
# ΔE to the lowest computed polymorph ... 6.1 meV/atom
# Total DFT energy (no corrections) ... -5.19 eV per atom
data_Sm2Cu3Rh
_space_group_name_H-M_alt 'P m m 2'
_space_group_IT_number 25
_cell_length_a 3.695
_cell_length_b 4.282
_cell_length_c 7.463
_cell_angle_alpha 90.00
_cell_angle_beta 90.00
_cell_angle_gamma 90.00
loop_
_space_group_symop_operation_xyz
'x,y,z'
'-x,-y,z'
'-x,y,z'
'x,-y,z'
loop_
_atom_site_label
_atom_site_fract_x
_atom_site_fract_y
_atom_site_fract_z
Sm1 0.000 0.000 0.000
Sm2 0.000 0.500 0.472
Cu1 0.500 0.000 0.658
Cu2 0.500 0.500 0.141
Cu3 0.500 0.500 0.816
Rh1 0.500 0.000 0.320

---

19.
# LaSmCu2 (PBE, relaxed)
# Total moment ... 0.0 μB per cell
# D(E_F) ... 13.6 states/eV/cell
# Energy of formation ... -0.15 eV per atom
# ΔE to the lowest computed polymorph ... 35.3 meV/atom
# Total DFT energy (no corrections) ... -4.61 eV per atom
data_LaSmCu2
_space_group_name_H-M_alt 'F m -3 m'
_space_group_IT_number 225
_space_group_name_Hall '-F 4 2 3'
_cell_length_a 7.212
_cell_length_b 7.212
_cell_length_c 7.212
_cell_angle_alpha 90.00
_cell_angle_beta 90.00
_cell_angle_gamma 90.00
loop_
_atom_site_label
_atom_site_fract_x
_atom_site_fract_y
_atom_site_fract_z
La1 0.000 0.000 0.000
Sm1 0.000 0.000 0.500
Cu1 0.250 0.250 0.250

---

20.
# NdPu2Pt9 (PBE, relaxed)
# Total moment ... 30.5 μB per cell
# D(E_F) ... 80.7 states/eV/cell
# Energy of formation ... -0.79 eV per atom
# Total DFT energy (no corrections) ... -8.11 eV per atom
data_NdPu2Pt9
_space_group_name_H-M_alt 'R -3 m'
_space_group_IT_number 166
_space_group_name_Hall '-R 3 2"'
_cell_length_a 5.4272
_cell_length_b 5.4272
_cell_length_c 26.7142
_cell_angle_alpha 90.00
_cell_angle_beta 90.00
_cell_angle_gamma 120.00
loop_
_atom_site_label
_atom_site_fract_x
_atom_site_fract_y
_atom_site_fract_z
Nd1 0.0000 0.0000 0.0000
Pu1 0.0000 0.0000 0.1426
Pt1 0.0000 0.0000 0.3328
Pt2 0.0000 0.0000 0.5000
Pt3 0.0035 0.5018 0.9149